Density functional theory data (PBE-GGA) for an optimized crystal structure of Zr3NbTc.

Computed properties:
spin magnetization	0.0	μB per cell
SG	C2/m (12)
energy of formation from the pure elements	-50	meV per atom

Geometry as CIF:
```
data_Zr3NbTc
_cell_length_a 3.4315
_cell_length_b 5.7490
_cell_length_c 11.0660
_cell_angle_alpha 96.68
_cell_angle_beta 90.00
_cell_angle_gamma 107.36
_space_group_name_H-M_alt 'P 1'
_space_group_IT_number 1
loop_
_space_group_symop_operation_xyz
'x,y,z'
loop_
_atom_site_label
_atom_site_type_symbol
_atom_site_fract_x
_atom_site_fract_y
_atom_site_fract_z
Zr1 Zr 0.0160 0.0321 0.3473
Zr2 Zr 0.9840 0.9679 0.6527
Zr3 Zr 0.3727 0.7453 0.0694
Zr4 Zr 0.6273 0.2547 0.9306
Zr5 Zr 0.2692 0.5384 0.7448
Zr6 Zr 0.7308 0.4616 0.2552
Nb1 Nb 0.6633 0.3266 0.5317
Nb2 Nb 0.3367 0.6734 0.4683
Tc1 Tc 0.9147 0.8294 0.8830
Tc2 Tc 0.0853 0.1706 0.1170
```


Density functional theory data (PBE-GGA) for an optimized crystal structure of AlTlOs2.

Computed properties:
spin magnetization	0.0	μB per cell
SG	I-42d (122)
energy of formation from the pure elements	771	meV per atom

Geometry as CIF:
```
data_AlTlOs2
_cell_length_a 4.1821
_cell_length_b 4.1821
_cell_length_c 9.5225
_cell_angle_alpha 77.31
_cell_angle_beta 77.31
_cell_angle_gamma 90.00
_space_group_name_H-M_alt 'P 1'
_space_group_IT_number 1
loop_
_space_group_symop_operation_xyz
'x,y,z'
loop_
_atom_site_label
_atom_site_type_symbol
_atom_site_fract_x
_atom_site_fract_y
_atom_site_fract_z
Tl1 Tl 0.0000 0.0000 0.0000
Tl2 Tl 0.7500 0.2500 0.5000
Os1 Os 0.5216 0.1250 0.2500
Os2 Os 0.2284 0.6250 0.2500
Os3 Os 0.3750 0.4784 0.7500
Os4 Os 0.8750 0.7716 0.7500
Al1 Al 0.5000 0.5000 0.0000
Al2 Al 0.2500 0.7500 0.5000
```


Density functional theory data (PBE-GGA) for an optimized crystal structure of SmEr3Zr.

Computed properties:
spin magnetization	0.0	μB per cell
SG	P-1 (2)
energy of formation from the pure elements	63	meV per atom

Geometry as CIF:
```
data_SmEr3Zr
_cell_length_a 3.4461
_cell_length_b 9.1737
_cell_length_c 9.8202
_cell_angle_alpha 105.61
_cell_angle_beta 90.05
_cell_angle_gamma 100.82
_space_group_name_H-M_alt 'P 1'
_space_group_IT_number 1
loop_
_space_group_symop_operation_xyz
'x,y,z'
loop_
_atom_site_label
_atom_site_type_symbol
_atom_site_fract_x
_atom_site_fract_y
_atom_site_fract_z
Sm1 Sm 0.4178 0.8704 0.1531
Sm2 Sm 0.6263 0.2836 0.2685
Er1 Er 0.0240 0.0818 0.4636
Er2 Er 0.4155 0.8633 0.6648
Er3 Er 0.6284 0.2907 0.7568
Er4 Er 0.0198 0.0723 0.9579
Er5 Er 0.2257 0.4855 0.0514
Er6 Er 0.8183 0.6686 0.3702
Zr1 Zr 0.2273 0.4864 0.5753
Zr2 Zr 0.8168 0.6678 0.8462
```


Density functional theory data (PBE-GGA) for an optimized crystal structure of VZnH.

Computed properties:
spin magnetization	0.0	μB per cell
SG	Pm (6)

Geometry as CIF:
```
data_VZnH
_cell_length_a 2.8714
_cell_length_b 4.7501
_cell_length_c 4.5733
_cell_angle_alpha 90.13
_cell_angle_beta 90.00
_cell_angle_gamma 90.00
_space_group_name_H-M_alt 'P 1'
_space_group_IT_number 1
loop_
_space_group_symop_operation_xyz
'x,y,z'
loop_
_atom_site_label
_atom_site_type_symbol
_atom_site_fract_x
_atom_site_fract_y
_atom_site_fract_z
H1 H 0.7810 0.2655 0.8485
H2 H 0.2810 0.0890 0.6162
Zn1 Zn 0.7813 0.5897 0.2467
Zn2 Zn 0.2813 0.0715 0.2206
V1 V 0.7810 0.9020 0.7453
V2 V 0.2810 0.4532 0.7408
```


Density functional theory data (PBE-GGA) for an optimized crystal structure of Mn3InPt.

Computed properties:
spin magnetization	13.2	μB per cell
SG	Pm-3m (221)
energy of formation from the pure elements	620	meV per atom

Geometry as CIF:
```
data_Mn3InPt
_cell_length_a 4.9058
_cell_length_b 4.9058
_cell_length_c 4.9058
_cell_angle_alpha 90.00
_cell_angle_beta 90.00
_cell_angle_gamma 90.00
_space_group_name_H-M_alt 'P 1'
_space_group_IT_number 1
loop_
_space_group_symop_operation_xyz
'x,y,z'
loop_
_atom_site_label
_atom_site_type_symbol
_atom_site_fract_x
_atom_site_fract_y
_atom_site_fract_z
Mn1 Mn 0.0000 0.5000 0.0000
Mn2 Mn 0.0000 0.0000 0.5000
Mn3 Mn 0.5000 0.0000 0.0000
Pt1 Pt 0.0000 0.0000 0.0000
In1 In 0.5000 0.5000 0.5000
```


Density functional theory data (PBE-GGA) for an optimized crystal structure of SiSb2Pd.

Computed properties:
spin magnetization	0.0	μB per cell
uncorrected formation energy	0.025	eV/atom
SG	I-42d (122)

Geometry as CIF:
```
data_SiSb2Pd
_cell_length_a 6.2141
_cell_length_b 6.2141
_cell_length_c 7.2076
_cell_angle_alpha 64.46
_cell_angle_beta 64.46
_cell_angle_gamma 90.00
_space_group_name_H-M_alt 'P 1'
_space_group_IT_number 1
loop_
_space_group_symop_operation_xyz
'x,y,z'
loop_
_atom_site_label
_atom_site_type_symbol
_atom_site_fract_x
_atom_site_fract_y
_atom_site_fract_z
Sb1 Sb 0.6290 0.1250 0.2500
Sb2 Sb 0.1210 0.6250 0.2500
Sb3 Sb 0.3750 0.3710 0.7500
Sb4 Sb 0.8750 0.8790 0.7500
Si1 Si 0.5000 0.5000 0.0000
Si2 Si 0.2500 0.7500 0.5000
Pd1 Pd 0.0000 0.0000 0.0000
Pd2 Pd 0.7500 0.2500 0.5000
```


Density functional theory data (PBE-GGA) for an optimized crystal structure of Na2Te2O5.

Computed properties:
spin magnetization	0.0	μB per cell
uncorrected formation energy	-1.245	eV/atom
SG	C2/m (12)

Geometry as CIF:
```
data_Na2Te2O5
_cell_length_a 4.2807
_cell_length_b 7.2972
_cell_length_c 5.3122
_cell_angle_alpha 84.00
_cell_angle_beta 90.00
_cell_angle_gamma 107.06
_space_group_name_H-M_alt 'P 1'
_space_group_IT_number 1
loop_
_space_group_symop_operation_xyz
'x,y,z'
loop_
_atom_site_label
_atom_site_type_symbol
_atom_site_fract_x
_atom_site_fract_y
_atom_site_fract_z
Na1 Na 0.3364 0.6729 0.5089
Na2 Na 0.6636 0.3271 0.4911
Te1 Te 0.1418 0.2836 0.9935
Te2 Te 0.8582 0.7164 0.0065
O1 O 0.3380 0.6761 0.9868
O2 O 0.6620 0.3239 0.0132
O3 O 0.1662 0.3324 0.6407
O4 O 0.8338 0.6676 0.3593
O5 O 0.0000 0.0000 0.0000
```


Density functional theory data (PBE-GGA) for an optimized crystal structure of Ca8SbAs5.

Computed properties:
spin magnetization	0.0	μB per cell
uncorrected formation energy	-1.099	eV/atom
SG	I-4 (82)

Geometry as CIF:
```
data_Ca8SbAs5
_cell_length_a 7.8470
_cell_length_b 7.8470
_cell_length_c 7.8470
_cell_angle_alpha 109.15
_cell_angle_beta 110.11
_cell_angle_gamma 109.15
_space_group_name_H-M_alt 'P 1'
_space_group_IT_number 1
loop_
_space_group_symop_operation_xyz
'x,y,z'
loop_
_atom_site_label
_atom_site_type_symbol
_atom_site_fract_x
_atom_site_fract_y
_atom_site_fract_z
Ca1 Ca 0.1196 0.7569 0.0252
Ca2 Ca 0.9748 0.0944 0.7317
Ca3 Ca 0.7533 0.2456 0.3706
Ca4 Ca 0.6294 0.3827 0.8750
Ca5 Ca 0.4923 0.6173 0.2467
Ca6 Ca 0.6373 0.9056 0.8804
Ca7 Ca 0.2683 0.2431 0.3627
Ca8 Ca 0.1250 0.7544 0.5077
Sb1 Sb 0.2500 0.5000 0.7500
As1 As 0.0066 0.3769 0.1260
As2 As 0.8740 0.8806 0.2509
As3 As 0.7491 0.6231 0.6297
As4 As 0.5000 0.0000 0.5000
As5 As 0.3703 0.1194 0.9934
```


Density functional theory data (PBE-GGA) for an optimized crystal structure of Er5Te5Se.

Computed properties:
spin magnetization	0.0	μB per cell
uncorrected formation energy	-1.402	eV/atom
SG	C2/m (12)

Geometry as CIF:
```
data_Er5Te5Se
_cell_length_a 6.0410
_cell_length_b 7.3524
_cell_length_c 8.4950
_cell_angle_alpha 106.97
_cell_angle_beta 90.00
_cell_angle_gamma 114.26
_space_group_name_H-M_alt 'P 1'
_space_group_IT_number 1
loop_
_space_group_symop_operation_xyz
'x,y,z'
loop_
_atom_site_label
_atom_site_type_symbol
_atom_site_fract_x
_atom_site_fract_y
_atom_site_fract_z
Er1 Er 0.8383 0.6767 0.1581
Er2 Er 0.8441 0.6883 0.6822
Er3 Er 0.5000 0.0000 0.0000
Er4 Er 0.1559 0.3117 0.3178
Er5 Er 0.1617 0.3233 0.8419
Te1 Te 0.6684 0.3368 0.3385
Te2 Te 0.6612 0.3225 0.8198
Te3 Te 0.0000 0.0000 0.5000
Te4 Te 0.3388 0.6775 0.1802
Te5 Te 0.3316 0.6632 0.6615
Se1 Se 0.0000 0.0000 0.0000
```


Density functional theory data (PBE-GGA) for an optimized crystal structure of NdSmSbTe.

Computed properties:
spin magnetization	0.0	μB per cell
uncorrected formation energy	-1.337	eV/atom
SG	R3m (160)

Geometry as CIF:
```
data_NdSmSbTe
_cell_length_a 4.4831
_cell_length_b 4.4831
_cell_length_c 7.8011
_cell_angle_alpha 73.30
_cell_angle_beta 73.30
_cell_angle_gamma 60.00
_space_group_name_H-M_alt 'P 1'
_space_group_IT_number 1
loop_
_space_group_symop_operation_xyz
'x,y,z'
loop_
_atom_site_label
_atom_site_type_symbol
_atom_site_fract_x
_atom_site_fract_y
_atom_site_fract_z
Nd1 Nd 0.9476 0.9476 0.1573
Sm1 Sm 0.4406 0.4406 0.6781
Sb1 Sb 0.6954 0.6954 0.9139
Te1 Te 0.1928 0.1928 0.4215
```


Computed total energy, in the same sequence as the records: -92.66 -50.97 -53.28 -27.62 -33.19 -37.52 -44.92 -58.76 -57.43 -22.10 eV/cell.
Computed DOS at the Fermi energy, in the same sequence as the records: 10.6 6.4 12.9 1.9 3.9 1.5 0.0 9.7 3.8 1.7 states/eV per cell.
Computed V, in the same sequence as the records: 20.681 19.789 29.326 10.396 23.614 27.577 17.521 26.565 29.628 32.023 Å³/atom.